VASP calculation (PBE) on PtPb2W after structural relaxation.

Results
* N(E_F): 8.00 states/eV per cell
* energy of formation from the pure elements: 0.768 eV/atom
* energy: -5.83 eV/atom

Cell: 3.6959 5.0746 8.9739 Å, 90.00 90.00 90.00°
Last column: nearest neighbours and their distance in Å.
Space group Cmmm (No. 65)
Asymmetric unit:
Pt  0.0000  0.0000  0.0000 [2 per cell]  4 Pb 2.87, 4 Pt 3.14
Pb  0.0000  0.5000  0.2452 [4 per cell]  2 Pt 2.87, 2 W 2.94, 4 Pb 3.14
W  0.0000  0.0000  0.5000 [2 per cell]  4 Pb 2.94, 4 W 3.14